(1)
## Ba3LiPm2Te6 (GGA-PBE)

Data for Ba3LiPm2Te6 after structural relaxation.

```
12
Lattice="8.120 0.000 0.001 -4.058 7.033 0.001 -1.354 -2.345 7.780" Properties=species:S:1:pos:R:3 pbc="T T T"
Te 0.006 4.688 6.077
Te 4.057 2.348 6.077
Te -1.350 2.340 1.704
Te 2.701 0.000 1.704
Te -0.004 -0.007 6.083
Te 2.711 4.694 1.698
Li 0.000 0.000 0.000
Pm 0.000 4.689 0.001
Pm 4.062 2.344 0.001
Ba 1.354 2.344 3.891
Ba 5.419 -0.004 3.891
Ba -2.712 4.692 3.891
```

Computed properties:
E_form (uncorrected) = -18.3 eV/f.u.

(2)
## BaLiPmTe3 (GGA-PBE)

Data for BaLiPmTe3 after structural relaxation.

```
12
Lattice="-4.237 -1.439 -1.092 4.711 -6.334 -0.214 -2.230 -2.042 11.340" Properties=species:S:1:pos:R:3 pbc="T T T"
Te -2.384 -3.550 4.213
Te -1.279 -2.602 8.390
Te -0.211 -7.034 10.086
Te 0.628 -6.265 5.820
Te -0.477 -7.213 1.644
Te -1.545 -2.781 -0.053
Pm -1.115 -1.021 5.670
Pm 0.000 0.000 0.000
Li 0.783 -8.213 7.785
Li -2.539 -1.602 2.249
Ba 0.734 -4.024 2.456
Ba -2.490 -5.791 7.577
```

Computed properties:
E_form (uncorrected) = -8.9 eV/f.u.

(3)
## Ba2LiPmTe4 (GGA-PBE)

Data for Ba2LiPmTe4 after structural relaxation.

```
8
Lattice="-4.178 1.799 -1.316 -3.278 -7.480 0.184 -2.967 -1.430 7.466" Properties=species:S:1:pos:R:3 pbc="T T T"
Te -5.216 -4.846 1.417
Te -4.600 -6.454 5.784
Te -5.823 -0.657 0.550
Te -5.207 -2.264 4.918
Ba -3.572 0.185 3.075
Ba -2.967 -1.430 7.466
Pm -3.123 -4.455 3.825
Li -3.728 -2.841 -0.566
```

Computed properties:
E_form (uncorrected) = -11.9 eV/f.u.

(4)
## Ba4LiPm3Te8 (GGA-PBE)

Data for Ba4LiPm3Te8 after structural relaxation.

```
16
Lattice="9.354 0.000 0.000 0.000 9.485 0.085 -4.677 -4.673 6.618" Properties=species:S:1:pos:R:3 pbc="T T T"
Ba 0.000 0.000 0.000
Ba 4.677 0.000 0.000
Ba 2.339 -2.336 3.309
Ba -2.339 -2.336 3.309
Te 0.000 4.584 3.224
Te 7.025 2.574 0.158
Te 4.677 0.228 3.479
Te 2.348 2.238 6.546
Te 0.000 0.209 3.453
Te 2.329 2.574 0.158
Te -2.348 2.238 6.546
Te 4.677 4.603 3.250
Pm 2.339 2.406 3.352
Pm 4.677 4.743 0.043
Pm -2.339 2.406 3.352
Li 0.000 4.743 0.043
```

Computed properties:
E_form (uncorrected) = -24.7 eV/f.u.

(5)
## BaLiPmTl (GGA-PBE)

Data for BaLiPmTl after structural relaxation.

```
4
Lattice="-5.349 1.853 -0.924 -4.460 -3.407 1.185 -3.426 1.201 4.441" Properties=species:S:1:pos:R:3 pbc="T T T"
Tl -6.618 -0.176 2.351
Li 0.000 0.000 0.000
Ba -3.309 -0.088 1.175
Pm -9.927 -0.265 3.526
```

Computed properties:
DFT formation energy = -0.099 eV per atom

(6)
## BaLi2Pm2Tl2 (GGA-PBE)

Data for BaLi2Pm2Tl2 after structural relaxation.

```
7
Lattice="5.062 0.000 0.000 2.531 4.384 0.000 2.531 1.461 9.830" Properties=species:S:1:pos:R:3 pbc="T T T"
Li 5.062 2.923 2.459
Li 5.062 2.923 7.371
Pm 7.593 4.384 3.852
Pm 2.531 1.461 5.978
Ba 0.000 0.000 0.000
Tl 2.531 1.461 2.497
Tl 7.593 4.384 7.333
```

Computed properties:
DFT formation energy = -0.209 eV per atom

(7)
## Ba2LiPmTl6 (GGA-PBE)

Data for Ba2LiPmTl6 after structural relaxation.

```
10
Lattice="7.903 -0.001 0.000 0.000 7.901 -0.001 3.951 3.950 5.585" Properties=species:S:1:pos:R:3 pbc="T T T"
Tl 10.056 5.746 5.585
Tl 3.937 3.936 3.042
Tl 6.104 6.102 0.013
Tl 7.917 7.914 2.542
Tl 1.798 6.104 0.000
Tl 5.750 5.748 5.571
Ba 3.955 7.896 2.792
Ba 7.898 3.954 2.792
Pm 3.951 3.950 0.000
Li 0.000 0.000 0.000
```

Computed properties:
DFT formation energy = -0.198 eV per atom

(8)
## BaLiPmZn (GGA-PBE)

Data for BaLiPmZn after structural relaxation.

```
4
Lattice="5.580 0.000 0.000 2.790 4.832 0.000 2.790 1.611 4.556" Properties=species:S:1:pos:R:3 pbc="T T T"
Zn 5.580 3.222 2.278
Pm 2.790 1.611 1.139
Li 0.000 0.000 0.000
Ba 8.370 4.832 3.417
```

Computed properties:
DFT formation energy = 0.043 eV per atom

Copy entry 3 word for word.
## Ba2LiPmTe4 (GGA-PBE)

Data for Ba2LiPmTe4 after structural relaxation.

```
8
Lattice="-4.178 1.799 -1.316 -3.278 -7.480 0.184 -2.967 -1.430 7.466" Properties=species:S:1:pos:R:3 pbc="T T T"
Te -5.216 -4.846 1.417
Te -4.600 -6.454 5.784
Te -5.823 -0.657 0.550
Te -5.207 -2.264 4.918
Ba -3.572 0.185 3.075
Ba -2.967 -1.430 7.466
Pm -3.123 -4.455 3.825
Li -3.728 -2.841 -0.566
```

Computed properties:
E_form (uncorrected) = -11.9 eV/f.u.